! PBE-GGA Mg2SiW, optimized geometry; values from VASP
&SYSTEM
  ibrav = 0, nat = 4, ntyp = 3
/
ATOMIC_SPECIES
Mg 24.30 Mg.upf
Si 28.09 Si.upf
W 183.84 W.upf
ATOMIC_POSITIONS crystal
Mg 0.0000 0.5000 0.0000
Mg 0.5000 0.0000 0.0000
Si 0.0000 0.0000 0.5000
W 0.5000 0.5000 0.5000
CELL_PARAMETERS angstrom
3.8425 0.0000 0.0000
0.0000 3.8425 0.0000
0.0000 0.0000 4.4042
! formation energy (no corrections): 341 meV per atom
! crystal system: tetragonal
! E_tot: -5.0501 eV/atom

! PBE-GGA MgSi2W, optimized geometry; values from VASP
&SYSTEM
  ibrav = 0, nat = 4, ntyp = 3
/
ATOMIC_SPECIES
Mg 24.30 Mg.upf
Si 28.09 Si.upf
W 183.84 W.upf
ATOMIC_POSITIONS crystal
Mg 0.0000 0.0000 0.0000
Si 0.5000 0.5000 0.2683
Si 0.5000 0.5000 0.7317
W 0.0000 0.0000 0.5000
CELL_PARAMETERS angstrom
1.7710 -2.2559 0.0000
1.7710 2.2559 0.0000
0.0000 0.0000 7.9719
! formation energy (no corrections): 175 meV per atom
! crystal system: orthorhombic
! E_tot: -6.1730 eV/atom

! PBE-GGA MgSi2W, optimized geometry; values from VASP
&SYSTEM
  ibrav = 0, nat = 4, ntyp = 3
/
ATOMIC_SPECIES
Mg 24.30 Mg.upf
Si 28.09 Si.upf
W 183.84 W.upf
ATOMIC_POSITIONS crystal
Mg 0.0000 0.0000 0.0000
Si 0.0000 0.0000 0.5085
Si 0.5000 0.5000 0.2145
W 0.5000 0.5000 0.7035
CELL_PARAMETERS angstrom
2.8149 0.0000 0.0000
0.0000 4.1877 0.0000
0.0000 0.0000 5.2760
! formation energy (no corrections): 263 meV per atom
! crystal system: orthorhombic
! E_tot: -6.0852 eV/atom